Entry 1:
Density functional theory data (GGA-PBEsol) for a relaxed CaGeB2 crystal.

Summary:
Formation energy from the elements (eV/atom): 0.366
Volume (Å³/atom): 15.09
Uncorrected energy (eV per atom): -4.911

Unit cell a=4.1126 b=4.1126 c=14.2772 alpha=90.00 beta=90.00 gamma=90.00
With the nearest neighbours (Å) after each atom.
Space group I4_1/amd (No. 141, origin choice 2)
One atom of each set of equivalent atoms:
Ca 0.0000 0.2500 0.3750 (multiplicity 4)  4 Ge 2.91, 8 B 2.91
Ge 0.0000 0.2500 0.8750 (multiplicity 4)  4 B 2.06
B 0.0000 0.0000 0.0000 (multiplicity 8)  2 B 2.06, 2 Ge 2.06

---

Entry 2:
Density functional theory data (GGA-PBEsol) for a relaxed CaGe3B crystal.

Summary:
Formation energy from the elements (eV/atom): 1.951
Volume (Å³/atom): 28.67
Uncorrected energy (eV per atom): -2.842

Unit cell a=5.2334 b=5.2334 c=5.2334 alpha=90.00 beta=90.00 gamma=90.00
With the nearest neighbours (Å) after each atom.
Space group Pm-3m (No. 221)
One atom of each set of equivalent atoms:
Ca 0.0000 0.0000 0.0000 (multiplicity 1)  6 Ge 2.62
Ge 0.0000 0.0000 0.5000 (multiplicity 3)  2 Ca 2.62
B 0.5000 0.5000 0.5000 (multiplicity 1)  12 Ge 3.70

---

Entry 3:
Density functional theory data (GGA-PBEsol) for a relaxed CaLaGeB2 crystal.

Summary:
Formation energy from the elements (eV/atom): 1.104
Volume (Å³/atom): 20.39
Uncorrected energy (eV per atom): -4.187

Unit cell a=4.4109 b=4.4109 c=5.2395 alpha=90.00 beta=90.00 gamma=90.00
With the nearest neighbours (Å) after each atom.
Space group P4/mmm (No. 123)
One atom of each set of equivalent atoms:
Ca 0.0000 0.0000 0.0000 (multiplicity 1)  4 La 3.12, 8 B 3.42
La 0.5000 0.5000 0.0000 (multiplicity 1)  2 Ge 2.62
Ge 0.5000 0.5000 0.5000 (multiplicity 1)  4 B 2.21
B 0.0000 0.5000 0.5000 (multiplicity 2)  2 Ge 2.21

---

Entry 4:
Density functional theory data (GGA-PBEsol) for a relaxed Sr2CaGeB crystal.

Summary:
Formation energy from the elements (eV/atom): 0.454
Volume (Å³/atom): 32.45
Uncorrected energy (eV per atom): -3.100

Unit cell a=6.5202 b=6.5202 c=3.8159 alpha=90.00 beta=90.00 gamma=90.00
With the nearest neighbours (Å) after each atom.
Space group P4/mmm (No. 123)
One atom of each set of equivalent atoms:
Sr 0.0000 0.5000 0.0000 (multiplicity 2)  2 Ge 3.26
Ca 0.0000 0.0000 0.5000 (multiplicity 1)  8 Sr 3.78, 2 Ca 3.82
Ge 0.5000 0.5000 0.0000 (multiplicity 1)  2 B 1.91
B 0.5000 0.5000 0.5000 (multiplicity 1)  2 Ge 1.91

---

Entry 5:
Density functional theory data (GGA-PBEsol) for a relaxed CaBH2 crystal.

Summary:
Volume (Å³/atom): 9.27
Uncorrected energy (eV per atom): -3.696

Unit cell a=3.8867 b=3.8867 c=9.8186 alpha=90.00 beta=90.00 gamma=90.00
With the nearest neighbours (Å) after each atom.
Space group I4_1/amd (No. 141, origin choice 2)
One atom of each set of equivalent atoms:
Ca 0.0000 0.2500 0.3750 (multiplicity 4)  8 H 2.50, 4 B 2.75
B 0.0000 0.2500 0.8750 (multiplicity 4)  4 H 1.57
H 0.0000 0.0000 0.0000 (multiplicity 8)  2 B 1.57

---

Entry 6:
Density functional theory data (GGA-PBEsol) for a relaxed Ca3BH crystal.

Summary:
Volume (Å³/atom): 28.31
Uncorrected energy (eV per atom): -2.913

Unit cell a=5.2114 b=5.2114 c=5.2114 alpha=90.00 beta=90.00 gamma=90.00
With the nearest neighbours (Å) after each atom.
Space group Pm-3m (No. 221)
One atom of each set of equivalent atoms:
Ca 0.0000 0.0000 0.5000 (multiplicity 3)  2 B 2.61
B 0.0000 0.0000 0.0000 (multiplicity 1)  6 Ca 2.61
H 0.5000 0.5000 0.5000 (multiplicity 1)  12 Ca 3.69

---

Entry 7:
Density functional theory data (GGA-PBEsol) for a relaxed CaB2H2 crystal.

Summary:
Volume (Å³/atom): 10.34
Uncorrected energy (eV per atom): -4.810

Unit cell a=3.1936 b=8.3972 c=7.7144 alpha=90.00 beta=90.00 gamma=90.00
With the nearest neighbours (Å) after each atom.
Space group Cmc2_1 (No. 36)
One atom of each set of equivalent atoms:
Ca 0.0000 0.1576 0.0000 (multiplicity 4)  4 H 2.19-2.24
B 0.0000 0.1231 0.6522 (multiplicity 4)  1 H 1.27
B 0.0000 0.4147 0.2203 (multiplicity 4)  1 H 1.26
H 0.0000 0.1647 0.4943 (multiplicity 4)  1 B 1.27
H 0.0000 0.4824 0.3654 (multiplicity 4)  1 B 1.26

---

Entry 8:
Density functional theory data (GGA-PBEsol) for a relaxed Li4CaB10H4O20 crystal.

Summary:
Volume (Å³/atom): 8.69
Uncorrected energy (eV per atom): -7.391

Unit cell a=8.2990 b=8.7855 c=9.2988 alpha=90.00 beta=90.00 gamma=90.00
With the nearest neighbours (Å) after each atom.
Space group Pnc2 (No. 30)
One atom of each set of equivalent atoms:
Li 0.1750 0.0453 0.0000 (multiplicity 4)  4 O 1.93-2.04
Li 0.3240 0.5569 0.8120 (multiplicity 4)  4 O 1.92-2.06
Ca 0.5000 0.0000 0.6836 (multiplicity 2)  8 O 2.37-2.58
B 0.0000 0.0000 0.2765 (multiplicity 2)  4 O 1.46-1.50
B 0.0703 0.7400 0.9048 (multiplicity 4)  3 O 1.37-1.38
B 0.1828 0.2243 0.2612 (multiplicity 4)  4 O 1.44-1.50
B 0.3184 0.7263 0.5643 (multiplicity 4)  4 O 1.44-1.53
B 0.4281 0.2483 0.4194 (multiplicity 4)  3 O 1.36-1.38
B 0.5000 0.0000 0.0327 (multiplicity 2)  4 O 1.43-1.51
H 0.1841 0.6126 0.1746 (multiplicity 4)  1 O 0.98
H 0.1914 0.1545 0.5706 (multiplicity 4)  1 O 0.98
O 0.0722 0.1926 0.8620 (multiplicity 4)  2 B 1.38-1.50
O 0.1007 0.1006 0.1900 (multiplicity 4)  2 B 1.44-1.46
O 0.1060 0.5919 0.8735 (multiplicity 4)  2 B 1.37-1.50
O 0.1750 0.6758 0.4863 (multiplicity 4)  2 B 1.37-1.46
O 0.2554 0.1661 0.6582 (multiplicity 4)  1 H 0.98
O 0.2813 0.6737 0.1875 (multiplicity 4)  1 H 0.98
O 0.3206 0.1606 0.3466 (multiplicity 4)  2 B 1.36-1.50
O 0.3992 0.5941 0.6205 (multiplicity 4)  2 B 1.43-1.44
O 0.4020 0.0970 0.9304 (multiplicity 4)  2 B 1.38-1.51
O 0.4339 0.6798 0.9725 (multiplicity 4)  2 B 1.38-1.53